Material: Ce5In2Co2
Method: DFT, GGA-PBE
State: optimized geometry

a = 10.1607 Å, b = 10.1607 Å, c = 10.1607 Å
α = 58.88°, β = 141.87°, γ = 136.91°
Fractional coordinates of all 18 atoms:
Ce (0.1033, 0.7233, 0.8800)
Ce (0.2289, 0.0049, 0.2338)
Ce (0.2289, 0.4951, 0.7240)
Ce (0.6425, 0.3658, 0.6082)
Ce (0.6425, 0.5344, 0.7767)
Ce (0.7577, 0.0344, 0.3918)
Ce (0.7577, 0.8658, 0.2233)
Ce (0.7711, 0.5049, 0.2760)
Ce (0.7711, 0.9951, 0.7662)
Ce (0.8433, 0.2233, 0.1200)
In (0.2317, 0.4026, 0.0850)
In (0.2317, 0.6467, 0.3291)
In (0.3176, 0.1467, 0.9150)
In (0.3176, 0.9026, 0.6709)
Co (0.2857, 0.1871, 0.5986)
Co (0.5885, 0.6871, 0.4014)
Co (0.7217, 0.2217, 0.5000)
Co (0.7217, 0.7217, 0.0000)

theoretical density = 7.94 g/cm³
E_tot = -5.66 eV/atom
formation enthalpy at 0 K = -1.6 eV/f.u.
Fermi-level density of states = 1.853 states/eV per atom
space group = Ima2